No. 1
VASP calculation (GGA-PBE) on a relaxed structure of Sc6Pt5Pb.

For the density, the calculation gives 10641 kg/m3. The calculation puts the formation energy at -24.4 kcal/mol of atoms. The value obtained for the total energy is -7.0491 eV/atom. The volume is 226.6 Å³ per cell. As for the density of states at the Fermi level: 5.82 states/eV/cell.

The structure belongs to space group P2/m (No. 10); the cell edges are 4.8513, 6.5290 and 7.5301 Å and the angles 90.00°, 108.15° and 90.00°. Symmetry generates all atoms from Sc at (0.0000, 0.2353, 0.0000), Sc at (0.3071, 0.2433, 0.6485), Pt at (0.2011, 0.5000, 0.3221), Pt at (0.2062, 0.0000, 0.3235), Pt at (0.5000, 0.0000, 0.0000) and Pb at (0.5000, 0.5000, 0.0000).

No. 2
VASP calculation (GGA-PBE) on a relaxed structure of Tl2InAu4.

For the density, the calculation gives 11634 kg/m3. The calculation puts the formation energy at 0.2 kcal/mol of atoms. The value obtained for the total energy is -2.9298 eV/atom. The volume is 187.2 Å³ per cell. As for the density of states at the Fermi level: 3.45 states/eV/cell.

The structure belongs to space group P-1 (No. 2); the cell edges are 5.5402, 5.5889 and 7.4835 Å and the angles 78.31°, 68.46° and 60.32°. Symmetry generates all atoms from Tl at (0.1507, 0.0243, 0.1850), In at (0.5000, 0.0000, 0.5000), Au at (0.0000, 0.5000, 0.5000), Au at (0.4807, 0.6748, 0.8428) and Au at (0.5000, 0.5000, 0.5000).

No. 3
VASP calculation (GGA-PBE) on a relaxed structure of K4NdHo3Se8.

For the density, the calculation gives 4960 kg/m3. The uncorrected formation energy comes out at -1.756 eV/atom. The value obtained for the total energy is -4.9289 eV/atom. The volume is 1433.3 Å³ per cell. As for the density of states at the Fermi level: 0.00 states/eV/cell.

The structure belongs to space group R-3m (No. 166, hexagonal axes); the cell edges are 8.4710, 8.4710 and 23.0636 Å and the angles 90.00°, 90.00° and 120.00°. Symmetry generates all atoms from K at (0.0000, 0.0000, 0.0000), K at (0.0000, 0.5000, 0.0000), Nd at (0.0000, 0.0000, 0.5000), Ho at (0.0000, 0.5000, 0.5000), Se at (0.0000, 0.0000, 0.2344) and Se at (0.0080, 0.5040, 0.7644).

No. 4
VASP calculation (GGA-PBE) on a relaxed structure of TlNi2Cl.

For the density, the calculation gives 8438 kg/m3. The calculation puts the energy above the lowest structure with this stoichiometry at 317 meV per atom. The uncorrected formation energy comes out at 0.392 eV/atom. The value obtained for the total energy is -3.5522 eV/atom. The volume is 70.3 Å³ per cell. As for the density of states at the Fermi level: 4.42 states/eV/cell.

The structure belongs to space group Pmmm (No. 47); the cell edges are 3.0802, 4.1132 and 5.5486 Å and the angles 90.00°, 90.00° and 90.00°. Symmetry generates all atoms from Tl at (0.0000, 0.0000, 0.0000), Ni at (0.0000, 0.5000, 0.5000), Ni at (0.5000, 0.5000, 0.0000) and Cl at (0.5000, 0.0000, 0.5000).